Entry from Alexandria via LeMat-Bulk: a relaxed LiZrCr crystal (PBE).

As for the uncorrected energy: -6.312 eV per atom. Its volume is 17.94 A^3/atom. The value obtained for the polymorph energy (0 for the lowest one) is 0.0 meV per atom. As for the energy relative to the elements: 0.383 eV/atom. Its density of states at the Fermi level is 1.78 states/eV per cell.

Unit cell a=5.6683 b=5.6683 c=5.6683 alpha=147.00 beta=147.00 gamma=47.36
With the nearest neighbours (Å) after each atom.
Atoms (fractional coordinates):
Li 0.0000 0.0000 0.0000  4 Cr 2.72
Zr 0.3005 0.3005 0.0000  4 Cr 2.81, 5 Li 3.08-3.12
Cr 0.6425 0.6425 0.0000  4 Li 2.72, 4 Zr 2.81